# 1
A plane-wave DFT calculation with PBE was carried out for crystalline RePt2 at its relaxed geometry.

a = 3.361 Å, b = 3.361 Å, c = 8.230 Å
α = 90.00°, β = 90.00°, γ = 90.00°
Sites, in units of the cell vectors:
Re  0.000  0.000  0.000
Re  0.500  0.500  0.500
Pt  0.000  0.000  0.334
Pt  0.000  0.000  0.666
Pt  0.500  0.500  0.166
Pt  0.500  0.500  0.834

Results
size of the total moment = 0.020 μB/f.u.
symmetry = No. 139
crystal system = tetragonal
offset from the most stable computed form = 0.212 eV per atom

# 2
A plane-wave DFT calculation with PBE was carried out for crystalline Re5Pt3 at its relaxed geometry.

a = 7.125 Å, b = 7.125 Å, c = 5.289 Å
α = 108.78°, β = 108.78°, γ = 85.27°
Sites, in units of the cell vectors:
Re  0.044  0.956  0.750
Re  0.164  0.580  0.507
Re  0.203  0.286  0.742
Re  0.286  0.203  0.242
Re  0.420  0.836  0.993
Re  0.580  0.164  0.007
Re  0.714  0.797  0.758
Re  0.797  0.714  0.258
Re  0.836  0.420  0.493
Re  0.956  0.044  0.250
Pt  0.079  0.666  0.995
Pt  0.334  0.921  0.505
Pt  0.458  0.542  0.250
Pt  0.542  0.458  0.750
Pt  0.666  0.079  0.495
Pt  0.921  0.334  0.005

Results
size of the total moment = 0.000 μB/f.u.
symmetry = No. 15
crystal system = monoclinic
offset from the most stable computed form = 0.000 eV per atom